Entry 1:
A plane-wave DFT calculation with PBE was carried out for a relaxed structure of AcDyGe2Pd2.

Properties
The calculation puts the total energy at -33.863 eV per cell. For the total moment, the calculation gives 0.0 Bohr magnetons per cell. The density of states at the Fermi level comes out at 4.7 states/eV/cell. For the calculated formation energy, the calculation gives -0.92 eV/atom.

```
6
Lattice="-1.174 -1.032 4.228 -2.803 -0.926 -3.407 3.204 -6.835 -0.779" Properties=species:S:1:pos:R:3 pbc="T T T"
Ac 0.000 0.000 0.000
Dy 1.602 -3.418 -0.389
Ge 0.576 -5.888 1.126
Ge -1.348 -2.905 -1.084
Pd -0.743 -3.074 1.446
Pd -0.029 -5.719 -1.404
```

---

Entry 2:
A plane-wave DFT calculation with PBE was carried out for a relaxed structure of Ac2DyGe4Pd3.

Properties
The calculation puts the total energy at -55.029 eV per cell. For the total moment, the calculation gives 0.0 Bohr magnetons per cell. The density of states at the Fermi level comes out at 4.3 states/eV/cell. For the calculated formation energy, the calculation gives -0.82 eV/atom.

```
10
Lattice="4.431 0.000 0.000 0.000 4.431 0.000 0.000 0.000 11.446" Properties=species:S:1:pos:R:3 pbc="T T T"
Ac 2.215 0.000 2.625
Ac 0.000 2.215 8.821
Dy 2.215 2.215 5.723
Ge 2.215 2.215 0.000
Ge 0.000 0.000 0.000
Ge 2.215 0.000 7.547
Ge 0.000 2.215 3.899
Pd 0.000 0.000 5.723
Pd 2.215 0.000 10.115
Pd 0.000 2.215 1.330
```

---

Entry 3:
A plane-wave DFT calculation with PBE was carried out for a relaxed structure of Ac2DyGe3Pt12.

Properties
The calculation puts the total energy at -106.592 eV per cell. For the total moment, the calculation gives 0.0 Bohr magnetons per cell. The density of states at the Fermi level comes out at 7.7 states/eV/cell. For the calculated formation energy, the calculation gives -0.41 eV/atom.

```
18
Lattice="-7.391 3.079 0.067 -3.675 0.216 7.110 -0.789 7.227 3.354" Properties=species:S:1:pos:R:3 pbc="T T T"
Ac -7.159 6.355 6.360
Ac -4.695 4.168 4.171
Dy 0.000 0.000 0.000
Ge -3.695 1.540 0.034
Ge -1.838 0.108 3.555
Ge -0.394 3.614 1.677
Pt -4.636 7.713 5.581
Pt -9.816 5.679 7.487
Pt -6.748 7.607 9.014
Pt -8.275 5.426 3.769
Pt -8.474 8.938 5.741
Pt -6.227 3.848 7.651
Pt -7.219 2.810 4.950
Pt -2.039 4.843 3.044
Pt -5.107 2.915 1.517
Pt -3.580 5.096 6.762
Pt -3.380 1.585 4.790
Pt -5.628 6.674 2.880
```

---

Entry 4:
A plane-wave DFT calculation with PBE was carried out for a relaxed structure of AcDy2Ge2Pt7.

Properties
The calculation puts the total energy at -75.134 eV per cell. For the total moment, the calculation gives 0.0 Bohr magnetons per cell. The density of states at the Fermi level comes out at 5.3 states/eV/cell. For the calculated formation energy, the calculation gives -0.86 eV/atom.

```
12
Lattice="4.164 0.053 -0.056 0.058 4.164 -0.056 1.905 1.902 13.948" Properties=species:S:1:pos:R:3 pbc="T T T"
Ac 0.000 0.000 0.000
Dy 4.379 4.373 4.961
Dy 1.748 1.746 8.875
Ge 3.990 3.985 10.182
Ge 2.137 2.134 3.654
Pt 2.111 2.108 -0.056
Pt 2.372 2.369 6.030
Pt 3.754 3.750 7.807
Pt 4.200 2.151 2.294
Pt 2.156 4.198 2.294
Pt 3.970 1.921 11.543
Pt 1.926 3.968 11.543
```